10
Lattice="-2.0363 -4.3554 -5.3876 -1.2205 -7.0022 1.2766 -7.2883 -2.4717 -0.0928" Properties=species:S:1:pos:R:3 comment="BaNa2HgCl6 GGA-PBE optimized geometry" mass_density_kg_m3=3393 e_form_raw_ev_per_atom=-1.6104 pbc="T T T"
Na -4.9103 -6.9902 -2.1762
Na -7.0559 -2.5242 -0.1424
Cl -6.2703 -5.1503 -0.3943
Cl -7.1492 -8.5400 -1.1760
Cl -3.2427 -4.8089 -2.9280
Cl -3.3600 -8.1398 -0.0827
Cl -4.3750 -8.8193 -4.2934
Cl -7.1575 -6.0447 -3.7536
Hg -1.3723 -3.7249 -1.3113
Ba -6.8410 -10.5983 -3.3718